MgPOs: relaxed, GGA-PBE.

extended XYZ file:
```
3
Lattice="3.0398 0.0000 0.0000 -1.5199 2.6326 0.0000 0.0000 0.0000 6.0459" Properties=species:S:1:pos:R:3 pbc="T T T"
Os 1.5199 0.8775 2.2404
P 0.0000 1.7551 3.7700
Mg 0.0000 0.0000 0.0354
```

Space group: P3m1 (156)
Total magnetic moment in μB per formula unit: 0.00
E_form in eV per atom: -0.154
Density of states at the Fermi level in states/eV per cell: 0.43
Calculated total energy in Ry per atom: -0.4580

=====

MgP2Os: relaxed, GGA-PBE.

extended XYZ file:
```
4
Lattice="-0.3798 3.0393 -0.2219 -1.2673 0.0458 2.7969 5.7481 0.9074 2.5895" Properties=species:S:1:pos:R:3 pbc="T T T"
P 0.4759 1.7477 1.8730
P 5.6013 0.8842 2.5234
Os 3.8077 2.2737 3.3739
Mg 2.8382 0.4481 1.2786
```

Space group: P4mm (99)
Total magnetic moment in μB per formula unit: 0.00
E_form in eV per atom: 0.057
Density of states at the Fermi level in states/eV per cell: 0.97
Calculated total energy in Ry per atom: -0.4302

=====

MgPOs2: relaxed, GGA-PBE.

extended XYZ file:
```
4
Lattice="5.1654 0.0083 -0.0041 2.3263 4.6119 0.0041 -3.1410 -3.2908 2.4466" Properties=species:S:1:pos:R:3 pbc="T T T"
Mg 1.4655 1.8156 1.2254
Os 7.1914 4.4350 0.0000
Os 4.0461 2.4953 0.0000
P 2.8851 -0.4862 1.2212
```

Space group: Immm (71)
Total magnetic moment in μB per formula unit: 0.00
E_form in eV per atom: 0.056
Density of states at the Fermi level in states/eV per cell: 2.29
Calculated total energy in Ry per atom: -0.5373
Energy relative to the lowest polymorph listed for this composition in kJ/mol of atoms: 0.02

=====

MgP2Os: relaxed, GGA-PBE.

extended XYZ file:
```
4
Lattice="-0.5624 -2.8902 5.5375 -2.6784 -0.7020 -3.3227 0.5460 -3.0563 0.1947" Properties=species:S:1:pos:R:3 pbc="T T T"
Os -1.6204 -1.7961 1.1074
P -0.0082 -2.9733 2.8661
P 0.0000 0.0000 0.0000
Mg -1.0662 -1.8792 -1.5640
```

Space group: C2/m (12)
Total magnetic moment in μB per formula unit: 0.00
E_form in eV per atom: 0.156
Density of states at the Fermi level in states/eV per cell: 2.41
Calculated total energy in Ry per atom: -0.4230

=====

MgP2Os: relaxed, GGA-PBE.

extended XYZ file:
```
4
Lattice="-1.5674 5.3198 -2.3408 -4.9711 3.1062 1.3700 5.2154 -2.5812 1.5406" Properties=species:S:1:pos:R:3 pbc="T T T"
Mg 0.1894 3.4758 -0.6427
Os -1.5124 2.3690 1.2127
P -0.5101 0.6573 -0.0757
P -2.7592 3.5557 -0.4096
```

Space group: Immm (71)
Total magnetic moment in μB per formula unit: 0.00
E_form in eV per atom: 0.047
Density of states at the Fermi level in states/eV per cell: 1.80
Calculated total energy in Ry per atom: -0.4310

=====

Mg4POs: relaxed, GGA-PBE.

extended XYZ file:
```
6
Lattice="0.0000 3.7546 3.7546 3.7546 0.0000 3.7546 3.7546 3.7546 0.0000" Properties=species:S:1:pos:R:3 pbc="T T T"
Mg 2.8216 2.8216 2.8216
Mg 2.8216 4.6876 4.6876
Mg 4.6876 2.8216 4.6876
Mg 4.6876 4.6876 2.8216
Os 5.6319 5.6319 5.6319
P 0.0000 0.0000 0.0000
```

Space group: F-43m (216)
Total magnetic moment in μB per formula unit: 0.00
E_form in eV per atom: 0.567
Density of states at the Fermi level in states/eV per cell: 2.26
Calculated total energy in Ry per atom: -0.2403

=====

MgPOs2: relaxed, GGA-PBE.

extended XYZ file:
```
4
Lattice="2.9436 0.0000 0.0000 0.0000 2.9436 0.0000 0.0000 0.0000 6.5017" Properties=species:S:1:pos:R:3 pbc="T T T"
Os 0.0000 0.0000 2.9961
Os 0.0000 0.0000 0.2548
P 1.4718 1.4718 1.6254
Mg 1.4718 1.4718 4.8763
```

Space group: P4/mmm (123)
Total magnetic moment in μB per formula unit: 0.00
E_form in eV per atom: 0.071
Density of states at the Fermi level in states/eV per cell: 3.77
Calculated total energy in Ry per atom: -0.5362
Energy relative to the lowest polymorph listed for this composition in kJ/mol of atoms: 1.51

=====

Mg3POs: relaxed, GGA-PBE.

extended XYZ file:
```
5
Lattice="4.9278 0.0000 0.0000 0.0000 4.9278 0.0000 0.0000 0.0000 4.9278" Properties=species:S:1:pos:R:3 pbc="T T T"
Mg 0.0000 0.0000 2.4639
Mg 2.4639 0.0000 0.0000
Mg 0.0000 2.4639 0.0000
Os 0.0000 0.0000 0.0000
P 2.4639 2.4639 2.4639
```

Space group: Pm-3m (221)
Total magnetic moment in μB per formula unit: 0.92
E_form in eV per atom: 0.854
Density of states at the Fermi level in states/eV per cell: 2.24
Calculated total energy in Ry per atom: -0.2521
Energy relative to the lowest polymorph listed for this composition in kJ/mol of atoms: 15.08

=====

MgP2Os: relaxed, GGA-PBE.

extended XYZ file:
```
4
Lattice="-3.9680 -0.3386 1.6954 -2.0466 -1.9343 3.2870 -0.6442 3.8925 4.6803" Properties=species:S:1:pos:R:3 pbc="T T T"
P -5.1329 1.1725 7.3723
P -5.7068 -1.6165 5.2688
Os -1.4603 -0.1940 1.5685
Mg -3.7029 0.7944 5.2668
```

Space group: Cm (8)
Total magnetic moment in μB per formula unit: 0.00
E_form in eV per atom: -0.222
Density of states at the Fermi level in states/eV per cell: 0.29
Calculated total energy in Ry per atom: -0.4508

=====

MgP2Os: relaxed, GGA-PBE.

extended XYZ file:
```
4
Lattice="3.9652 0.0000 0.0000 0.0000 3.4557 -0.0006 0.0000 0.0022 4.6620" Properties=species:S:1:pos:R:3 pbc="T T T"
Os 1.9826 2.5934 3.4961
P 0.0000 2.5920 2.2206
P 0.0000 2.5926 0.1095
Mg 1.9826 0.8645 1.1654
```

Space group: Pmmm (47)
Total magnetic moment in μB per formula unit: 0.00
E_form in eV per atom: -0.220
Density of states at the Fermi level in states/eV per cell: 0.58
Calculated total energy in Ry per atom: -0.4506

=====

MgPOs: relaxed, GGA-PBE.

extended XYZ file:
```
3
Lattice="4.0499 0.0000 0.0000 2.0249 3.5073 0.0000 2.0249 1.1691 3.3067" Properties=species:S:1:pos:R:3 pbc="T T T"
Os 4.0499 2.3382 1.6534
Mg 0.0000 0.0000 0.0000
P 2.0249 1.1691 0.8267
```

Space group: F-43m (216)
Total magnetic moment in μB per formula unit: 0.00
E_form in eV per atom: 0.040
Density of states at the Fermi level in states/eV per cell: 3.01
Calculated total energy in Ry per atom: -0.4438

=====

MgPOs2: relaxed, GGA-PBE.

extended XYZ file:
```
4
Lattice="8.4932 -0.0045 -0.0027 8.0068 2.8330 -0.0027 8.0068 1.3725 2.4783" Properties=species:S:1:pos:R:3 pbc="T T T"
Mg 18.4168 3.1570 1.8584
Os 5.9651 1.0225 0.6019
Os 24.4302 4.1879 2.4652
P 12.4546 2.1350 1.2568
```

Space group: R3m (160)
Total magnetic moment in μB per formula unit: 0.00
E_form in eV per atom: 0.116
Density of states at the Fermi level in states/eV per cell: 2.54
Calculated total energy in Ry per atom: -0.5329
Energy relative to the lowest polymorph listed for this composition in kJ/mol of atoms: 5.84